<one>
# NaCa3Mg | Alexandria via LeMat-Bulk | GGA-PBE | optimized geometry
data_NaCa3Mg
_chemical_formula_sum 'Na4 Ca12 Mg4'
_symmetry_space_group_name_H-M 'A m m 2'
_symmetry_Int_Tables_number 38
_cell_length_a 5.736
_cell_length_b 5.730
_cell_length_c 21.874
_cell_angle_alpha 90.00
_cell_angle_beta 90.00
_cell_angle_gamma 90.00
loop_
_symmetry_equiv_pos_as_xyz
'x,y,z'
'-x,-y,z'
'-x,y,z'
'x,-y,z'
'x,y+1/2,z+1/2'
'-x,-y+1/2,z+1/2'
'-x,y+1/2,z+1/2'
'x,-y+1/2,z+1/2'
loop_
_atom_site_label
_atom_site_type_symbol
_atom_site_fract_x
_atom_site_fract_y
_atom_site_fract_z
Na1 Na 0.000 0.000 0.000
Na2 Na 0.500 0.000 0.310
Ca1 Ca 0.000 0.000 0.216
Ca2 Ca 0.000 0.000 0.405
Ca3 Ca 0.000 0.000 0.596
Ca4 Ca 0.500 0.000 0.094
Ca5 Ca 0.500 0.000 0.714
Ca6 Ca 0.500 0.000 0.904
Mg1 Mg 0.000 0.000 0.808
Mg2 Mg 0.500 0.000 0.501
# Crystal system: orthorhombic
# Total magnetization: 0.00 μB/f.u.

<two>
# NaCa3Mg | Alexandria via LeMat-Bulk | GGA-PBE | optimized geometry
data_NaCa3Mg
_chemical_formula_sum 'Na1 Ca3 Mg1'
_symmetry_space_group_name_H-M 'P m -3 m'
_symmetry_Int_Tables_number 221
_symmetry_space_group_name_Hall '-P 4 2 3'
_cell_length_a 6.153
_cell_length_b 6.153
_cell_length_c 6.153
_cell_angle_alpha 90.00
_cell_angle_beta 90.00
_cell_angle_gamma 90.00
loop_
_atom_site_label
_atom_site_type_symbol
_atom_site_fract_x
_atom_site_fract_y
_atom_site_fract_z
Na1 Na 0.000 0.000 0.000
Ca1 Ca 0.000 0.500 0.500
Mg1 Mg 0.500 0.500 0.500
# Crystal system: cubic
# Total magnetization: 0.00 μB/f.u.

<three>
# NaCa3Mg | Alexandria via LeMat-Bulk | GGA-PBE | optimized geometry
data_NaCa3Mg
_chemical_formula_sum 'Na1 Ca3 Mg1'
_symmetry_space_group_name_H-M 'P m -3 m'
_symmetry_Int_Tables_number 221
_symmetry_space_group_name_Hall '-P 4 2 3'
_cell_length_a 6.138
_cell_length_b 6.138
_cell_length_c 6.138
_cell_angle_alpha 90.00
_cell_angle_beta 90.00
_cell_angle_gamma 90.00
loop_
_atom_site_label
_atom_site_type_symbol
_atom_site_fract_x
_atom_site_fract_y
_atom_site_fract_z
Na1 Na 0.000 0.000 0.000
Ca1 Ca 0.000 0.000 0.500
Mg1 Mg 0.500 0.500 0.500
# Crystal system: cubic
# Total magnetization: 0.00 μB/f.u.

Last place for stability: <three>

<one>
# NaCaMg14 | Alexandria via LeMat-Bulk | GGA-PBE | optimized geometry
data_NaCaMg14
_chemical_formula_sum 'Na1 Ca1 Mg14'
_symmetry_space_group_name_H-M 'P -6 m 2'
_symmetry_Int_Tables_number 187
_symmetry_space_group_name_Hall 'P -6 2'
_cell_length_a 6.5433
_cell_length_b 6.5433
_cell_length_c 10.6088
_cell_angle_alpha 90.00
_cell_angle_beta 90.00
_cell_angle_gamma 120.00
loop_
_atom_site_label
_atom_site_type_symbol
_atom_site_fract_x
_atom_site_fract_y
_atom_site_fract_z
Na1 Na 0.0000 0.0000 0.0000
Ca1 Ca 0.0000 0.0000 0.5000
Mg1 Mg 0.9995 0.4998 0.0000
Mg2 Mg 0.0077 0.5039 0.5000
Mg3 Mg 0.1704 0.3407 0.2466
Mg4 Mg 0.6667 0.3333 0.2526
# Crystal system: hexagonal
# Total magnetization: 0.00 μB/f.u.

<two>
# NaCaMg14 | Alexandria via LeMat-Bulk | GGA-PBE | optimized geometry
data_NaCaMg14
_chemical_formula_sum 'Na2 Ca2 Mg28'
_symmetry_space_group_name_H-M 'A m m 2'
_symmetry_Int_Tables_number 38
_cell_length_a 10.638
_cell_length_b 6.466
_cell_length_c 11.428
_cell_angle_alpha 90.00
_cell_angle_beta 90.00
_cell_angle_gamma 90.00
loop_
_symmetry_equiv_pos_as_xyz
'x,y,z'
'-x,-y,z'
'-x,y,z'
'x,-y,z'
'x,y+1/2,z+1/2'
'-x,-y+1/2,z+1/2'
'-x,y+1/2,z+1/2'
'x,-y+1/2,z+1/2'
loop_
_atom_site_label
_atom_site_type_symbol
_atom_site_fract_x
_atom_site_fract_y
_atom_site_fract_z
Na1 Na 0.000 0.000 0.000
Ca1 Ca 0.000 0.000 0.502
Mg1 Mg 0.000 0.247 0.754
Mg2 Mg 0.246 0.000 0.167
Mg3 Mg 0.254 0.000 0.668
Mg4 Mg 0.260 0.250 0.414
Mg5 Mg 0.500 0.000 0.004
Mg6 Mg 0.500 0.000 0.503
Mg7 Mg 0.500 0.248 0.250
# Crystal system: orthorhombic
# Total magnetization: 0.00 μB/f.u.

Last place for stability: <two>

<one>
# Ca2MgNb | Alexandria via LeMat-Bulk | GGA-PBE | optimized geometry
data_Ca2MgNb
_chemical_formula_sum 'Ca8 Mg4 Nb4'
_symmetry_space_group_name_H-M 'I -4 2 d'
_symmetry_Int_Tables_number 122
_symmetry_space_group_name_Hall 'I -4 2bw'
_cell_length_a 8.532
_cell_length_b 8.532
_cell_length_c 6.400
_cell_angle_alpha 90.00
_cell_angle_beta 90.00
_cell_angle_gamma 90.00
loop_
_atom_site_label
_atom_site_type_symbol
_atom_site_fract_x
_atom_site_fract_y
_atom_site_fract_z
Ca1 Ca 0.248 0.250 0.125
Mg1 Mg 0.000 0.000 0.000
Nb1 Nb 0.000 0.000 0.500
# Crystal system: tetragonal
# Total magnetization: 3.04 μB/f.u.

<two>
# Ca2MgNb | Alexandria via LeMat-Bulk | GGA-PBE | optimized geometry
data_Ca2MgNb
_chemical_formula_sum 'Ca8 Mg4 Nb4'
_symmetry_space_group_name_H-M 'F m -3 m'
_symmetry_Int_Tables_number 225
_symmetry_space_group_name_Hall '-F 4 2 3'
_cell_length_a 7.686
_cell_length_b 7.686
_cell_length_c 7.686
_cell_angle_alpha 90.00
_cell_angle_beta 90.00
_cell_angle_gamma 90.00
loop_
_atom_site_label
_atom_site_type_symbol
_atom_site_fract_x
_atom_site_fract_y
_atom_site_fract_z
Ca1 Ca 0.250 0.250 0.250
Mg1 Mg 0.000 0.000 0.000
Nb1 Nb 0.000 0.000 0.500
# Crystal system: cubic
# Total magnetization: 3.09 μB/f.u.

Last place for stability: <one>

<one>
# Ca2Mg2Nb | Alexandria via LeMat-Bulk | GGA-PBE | optimized geometry
data_Ca2Mg2Nb
_chemical_formula_sum 'Ca4 Mg4 Nb2'
_symmetry_space_group_name_H-M 'I 4/m m m'
_symmetry_Int_Tables_number 139
_symmetry_space_group_name_Hall '-I 4 2'
_cell_length_a 4.403
_cell_length_b 4.403
_cell_length_c 14.953
_cell_angle_alpha 90.00
_cell_angle_beta 90.00
_cell_angle_gamma 90.00
loop_
_atom_site_label
_atom_site_type_symbol
_atom_site_fract_x
_atom_site_fract_y
_atom_site_fract_z
Ca1 Ca 0.000 0.500 0.250
Mg1 Mg 0.000 0.000 0.089
Nb1 Nb 0.000 0.000 0.500
# Crystal system: tetragonal
# Total magnetization: 3.74 μB/f.u.

<two>
# Ca2Mg2Nb | Alexandria via LeMat-Bulk | GGA-PBE | optimized geometry
data_Ca2Mg2Nb
_chemical_formula_sum 'Ca4 Mg4 Nb2'
_symmetry_space_group_name_H-M 'P 4/m b m'
_symmetry_Int_Tables_number 127
_symmetry_space_group_name_Hall '-P 4 2ab'
_cell_length_a 8.695
_cell_length_b 8.695
_cell_length_c 3.585
_cell_angle_alpha 90.00
_cell_angle_beta 90.00
_cell_angle_gamma 90.00
loop_
_atom_site_label
_atom_site_type_symbol
_atom_site_fract_x
_atom_site_fract_y
_atom_site_fract_z
Ca1 Ca 0.178 0.322 0.000
Mg1 Mg 0.124 0.624 0.500
Nb1 Nb 0.000 0.000 0.500
# Crystal system: tetragonal
# Total magnetization: 1.17 μB/f.u.

Last place for stability: <one>

<one>
# CaMg6NbO8 | Alexandria via LeMat-Bulk | GGA-PBE | optimized geometry
data_CaMg6NbO8
_chemical_formula_sum 'Ca1 Mg6 Nb1 O8'
_symmetry_space_group_name_H-M 'P 4/m m m'
_symmetry_Int_Tables_number 123
_symmetry_space_group_name_Hall '-P 4 2'
_cell_length_a 4.394
_cell_length_b 4.394
_cell_length_c 8.926
_cell_angle_alpha 90.00
_cell_angle_beta 90.00
_cell_angle_gamma 90.00
loop_
_atom_site_label
_atom_site_type_symbol
_atom_site_fract_x
_atom_site_fract_y
_atom_site_fract_z
Ca1 Ca 0.000 0.000 0.000
Mg1 Mg 0.000 0.500 0.250
Mg2 Mg 0.500 0.500 0.000
Mg3 Mg 0.500 0.500 0.500
Nb1 Nb 0.000 0.000 0.500
O1 O 0.000 0.000 0.252
O2 O 0.000 0.500 0.000
O3 O 0.000 0.500 0.500
O4 O 0.500 0.500 0.252
# Crystal system: tetragonal
# Total magnetization: 0.63 μB/f.u.

<two>
# CaMg6NbO8 | Alexandria via LeMat-Bulk | GGA-PBE | optimized geometry
data_CaMg6NbO8
_chemical_formula_sum 'Ca1 Mg6 Nb1 O8'
_symmetry_space_group_name_H-M 'P 4/m m m'
_symmetry_Int_Tables_number 123
_symmetry_space_group_name_Hall '-P 4 2'
_cell_length_a 4.371
_cell_length_b 4.371
_cell_length_c 8.864
_cell_angle_alpha 90.00
_cell_angle_beta 90.00
_cell_angle_gamma 90.00
loop_
_atom_site_label
_atom_site_type_symbol
_atom_site_fract_x
_atom_site_fract_y
_atom_site_fract_z
Ca1 Ca 0.000 0.000 0.000
Mg1 Mg 0.000 0.000 0.500
Mg2 Mg 0.000 0.500 0.262
Mg3 Mg 0.500 0.500 0.500
Nb1 Nb 0.500 0.500 0.000
O1 O 0.000 0.000 0.266
O2 O 0.000 0.500 0.000
O3 O 0.000 0.500 0.500
O4 O 0.500 0.500 0.264
# Crystal system: tetragonal
# Total magnetization: 0.27 μB/f.u.

Last place for stability: <one>

<one>
# CaNd2Mg6 | Alexandria via LeMat-Bulk | GGA-PBE | optimized geometry
data_CaNd2Mg6
_chemical_formula_sum 'Ca2 Nd4 Mg12'
_symmetry_space_group_name_H-M 'C 1 2/m 1'
_symmetry_Int_Tables_number 12
_cell_length_a 10.786
_cell_length_b 6.567
_cell_length_c 7.371
_cell_angle_alpha 90.00
_cell_angle_beta 98.87
_cell_angle_gamma 90.00
loop_
_symmetry_equiv_pos_as_xyz
'x,y,z'
'-x,-y,-z'
'-x,y,-z'
'x,-y,z'
'x+1/2,y+1/2,z'
'-x+1/2,-y+1/2,-z'
'-x+1/2,y+1/2,-z'
'x+1/2,-y+1/2,z'
loop_
_atom_site_label
_atom_site_type_symbol
_atom_site_fract_x
_atom_site_fract_y
_atom_site_fract_z
Ca1 Ca 0.000 0.000 0.000
Nd1 Nd 0.156 0.500 0.870
Mg1 Mg 0.108 0.265 0.373
Mg2 Mg 0.166 0.000 0.700
# Crystal system: monoclinic
# Total magnetization: 0.00 μB/f.u.

<two>
# CaNd2Mg6 | Alexandria via LeMat-Bulk | GGA-PBE | optimized geometry
data_CaNd2Mg6
_chemical_formula_sum 'Ca1 Nd2 Mg6'
_symmetry_space_group_name_H-M 'P 6/m m m'
_symmetry_Int_Tables_number 191
_symmetry_space_group_name_Hall '-P 6 2'
_cell_length_a 9.1965
_cell_length_b 9.1965
_cell_length_c 3.4237
_cell_angle_alpha 90.00
_cell_angle_beta 90.00
_cell_angle_gamma 120.00
loop_
_atom_site_label
_atom_site_type_symbol
_atom_site_fract_x
_atom_site_fract_y
_atom_site_fract_z
Ca1 Ca 0.0000 0.0000 0.0000
Nd1 Nd 0.3333 0.6667 0.0000
Mg1 Mg 0.0000 0.3342 0.5000
# Crystal system: hexagonal
# Total magnetization: 0.00 μB/f.u.

Last place for stability: <one>